(1)
## PuNpSe2 (PBE)

Data for PuNpSe2 after structural relaxation.

The uncorrected formation energy comes out at -1.192 eV/atom. The final energy is -9.75 eV/atom. For the relative energy among the computed polymorphs, the calculation gives 0.075 eV per atom.

The space group is R3m (No. 160, hexagonal axes) and the conventional cell measures 4.0087, 4.0087 and 21.9509 Å, with angles of 90.00, 90.00 and 120.00 degrees. The inequivalent atoms are Pu at (0.0000, 0.0000, 0.0000), Np at (0.0000, 0.0000, 0.1702), Se at (0.0000, 0.0000, 0.4173) and Se at (0.0000, 0.0000, 0.5865).

---

(2)
## CaMnTl2Br6 (PBE)

Data for CaMnTl2Br6 after structural relaxation.

The uncorrected formation energy comes out at -1.167 eV/atom. The final energy is -3.76 eV/atom.

The space group is P-1 (No. 2) and the conventional cell measures 7.690, 7.698 and 7.701 Å, with angles of 61.04, 61.10 and 61.03 degrees. The inequivalent atoms are Ca at (0.000, 0.000, 0.000), Mn at (0.500, 0.500, 0.500), Tl at (0.274, 0.273, 0.275), Br at (0.186, 0.333, 0.731), Br at (0.265, 0.814, 0.667) and Br at (0.334, 0.733, 0.185).

---

(3)
## HoGaPb2 (PBE)

Data for HoGaPb2 after structural relaxation.

The final energy is -4.04 eV/atom. For the relative energy among the computed polymorphs, the calculation gives 0.000 eV per atom. The calculation puts the formation enthalpy at 0 K at -0.2875 eV/atom.

The space group is P4/mmm (No. 123) and the conventional cell measures 4.654, 4.654 and 4.803 Å, with angles of 90.00, 90.00 and 90.00 degrees. The inequivalent atoms are Ho at (0.000, 0.000, 0.000), Ga at (0.500, 0.500, 0.000) and Pb at (0.000, 0.500, 0.500).

---

(4)
## NaCoMo2Pd (PBE)

Data for NaCoMo2Pd after structural relaxation.

The final energy is -5.97 eV/atom. The calculation puts the formation enthalpy at 0 K at 1.0813 eV/atom.

The space group is P4/mmm (No. 123) and the conventional cell measures 4.429, 4.429 and 4.858 Å, with angles of 90.00, 90.00 and 90.00 degrees. The inequivalent atoms are Na at (0.000, 0.000, 0.000), Co at (0.500, 0.500, 0.500), Mo at (0.000, 0.500, 0.500) and Pd at (0.500, 0.500, 0.000).